Below is crystalline NaCePrPb at its relaxed geometry, with properties calculated at the PBE level.

Cell: 7.897 7.897 7.897 Å, 90.00 90.00 90.00°
Sites, in units of the cell vectors:
Na 0.000 0.000 0.000
Na 0.000 0.500 0.500
Na 0.500 0.000 0.500
Na 0.500 0.500 0.000
Ce 0.250 0.250 0.250
Ce 0.250 0.750 0.750
Ce 0.750 0.250 0.750
Ce 0.750 0.750 0.250
Pr 0.250 0.250 0.750
Pr 0.250 0.750 0.250
Pr 0.750 0.250 0.250
Pr 0.750 0.750 0.750
Pb 0.000 0.000 0.500
Pb 0.000 0.500 0.000
Pb 0.500 0.000 0.000
Pb 0.500 0.500 0.500

Summary:
**Symmetry**: F-43m, No. 216
**E_form**: -0.116 eV/atom
**Energy**: -4.05 eV per atom